[1]
# ErZrCd

A geometry-optimized ErZrCd structure (PBE, OQMD via LeMat-Bulk).

Unit cell a=4.952 b=4.952 c=4.952 alpha=60.00 beta=60.00 gamma=60.00
Element x y z (fractional)
1 Er 0.000 0.000 0.000
2 Zr 0.750 0.750 0.750
3 Cd 0.250 0.250 0.250

- SG = F-43m
- calculated formation energy (eV/atom) = 0.83



[2]
# CdF2

A geometry-optimized CdF2 structure (PBE, OQMD via LeMat-Bulk).

Unit cell a=3.640 b=3.640 c=2.910 alpha=90.00 beta=90.00 gamma=90.00
Element x y z (fractional)
1 F 0.000 0.500 0.000
2 F 0.500 0.000 0.000
3 Cd 0.000 0.000 0.500

- SG = P4/mmm
- E (eV/atom) = -3.514



[3]
# CdF2

A geometry-optimized CdF2 structure (PBE, OQMD via LeMat-Bulk).

Unit cell a=4.492 b=4.755 c=4.928 alpha=111.34 beta=112.49 gamma=93.28
Element x y z (fractional)
1 F 0.500 0.500 0.000
2 F 0.247 0.748 0.495
3 F 0.753 0.252 0.505
4 F 0.000 0.000 0.000
5 Cd 0.749 0.750 0.500
6 Cd 0.251 0.250 0.500

- SG = P-1
- E (eV/atom) = -3.546



[4]
# CdF2

A geometry-optimized CdF2 structure (PBE, OQMD via LeMat-Bulk).

Unit cell a=7.148 b=7.148 c=7.148 alpha=92.75 beta=92.75 gamma=154.67
Element x y z (fractional)
1 F 0.156 0.896 0.052
2 F 0.844 0.104 0.948
3 F 0.378 0.121 0.500
4 F 0.879 0.378 0.257
5 F 0.104 0.156 0.260
6 F 0.896 0.844 0.740
7 F 0.622 0.879 0.500
8 F 0.121 0.622 0.743
9 Cd 0.445 0.741 0.186
10 Cd 0.555 0.259 0.814
11 Cd 0.259 0.445 0.704
12 Cd 0.741 0.555 0.296

- SG = I4/m
- E (eV/atom) = -3.574



[5]
# CdF2

A geometry-optimized CdF2 structure (PBE, OQMD via LeMat-Bulk).

Unit cell a=3.589 b=3.589 c=6.976 alpha=90.00 beta=90.00 gamma=119.99
Element x y z (fractional)
1 F 0.167 0.833 0.134
2 F 0.500 0.500 0.872
3 F 0.500 0.500 0.372
4 F 0.833 0.167 0.634
5 Cd 0.167 0.833 0.495
6 Cd 0.833 0.167 0.995

- SG = P6_3mc
- E (eV/atom) = -3.660



[6]
# Cd5F

A geometry-optimized Cd5F structure (PBE, OQMD via LeMat-Bulk).

Unit cell a=5.684 b=5.684 c=5.011 alpha=90.00 beta=90.00 gamma=120.00
Element x y z (fractional)
1 Cd 0.000 0.500 0.500
2 Cd 0.500 0.000 0.500
3 Cd 0.667 0.333 0.000
4 Cd 0.333 0.667 0.000
5 Cd 0.500 0.500 0.500
6 F 0.000 0.000 0.000

- SG = P6/mmm
- E (eV/atom) = -1.270



[7]
# CdF2

A geometry-optimized CdF2 structure (PBE, OQMD via LeMat-Bulk).

Unit cell a=6.748 b=6.748 c=6.748 alpha=60.00 beta=60.00 gamma=60.00
Element x y z (fractional)
1 F 0.875 0.875 0.375
2 F 0.375 0.875 0.875
3 F 0.875 0.375 0.875
4 F 0.875 0.875 0.875
5 Cd 0.000 0.000 0.000
6 Cd 0.750 0.750 0.750

- SG = Fd-3m
- E (eV/atom) = -3.499



[8]
# CdF2

A geometry-optimized CdF2 structure (PBE, OQMD via LeMat-Bulk).

Unit cell a=3.240 b=4.035 c=4.035 alpha=45.78 beta=90.00 gamma=90.00
Element x y z (fractional)
1 Cd 0.000 0.999 0.999
2 F 0.000 0.293 0.293
3 F 0.500 0.582 0.582

- SG = Amm2
- E (eV/atom) = -3.555



[9]
# CdF2

A geometry-optimized CdF2 structure (PBE, OQMD via LeMat-Bulk).

Unit cell a=3.478 b=3.478 c=3.871 alpha=90.00 beta=90.00 gamma=120.00
Element x y z (fractional)
1 F 0.667 0.333 0.741
2 F 0.333 0.667 0.259
3 Cd 0.000 0.000 0.000

- SG = P-3m1
- E (eV/atom) = -3.623



[10]
# CdF2

A geometry-optimized CdF2 structure (PBE, OQMD via LeMat-Bulk).

Unit cell a=3.313 b=4.063 c=5.768 alpha=90.00 beta=90.00 gamma=90.00
Element x y z (fractional)
1 Cd 0.000 0.850 0.199
2 Cd 0.000 0.150 0.699
3 F 0.000 0.362 0.347
4 F 0.000 0.638 0.847
5 F 0.500 0.120 0.987
6 F 0.500 0.880 0.487

- SG = Pmc2_1
- E (eV/atom) = -3.579



[11]
# CdF2

A geometry-optimized CdF2 structure (PBE, OQMD via LeMat-Bulk).

Unit cell a=4.623 b=4.623 c=4.623 alpha=60.00 beta=60.00 gamma=60.00
Element x y z (fractional)
1 F 0.625 0.625 0.625
2 F 0.625 0.125 0.625
3 F 0.625 0.625 0.125
4 F 0.125 0.625 0.625
5 Cd 0.000 0.000 0.000
6 Cd 0.250 0.250 0.250

- SG = Fd-3m
- E (eV/atom) = -2.365



[12]
# CdGaH14O7F5

A geometry-optimized CdGaH14O7F5 structure (PBE, OQMD via LeMat-Bulk).

Unit cell a=5.724 b=9.096 c=9.656 alpha=106.43 beta=101.85 gamma=94.84
Element x y z (fractional)
1 O 0.236 0.169 0.672
2 O 0.475 0.242 0.441
3 O 0.637 0.394 0.058
4 O 0.790 0.595 0.795
5 O 0.617 0.906 0.899
6 O 0.363 0.606 0.942
7 O 0.525 0.758 0.559
8 O 0.234 0.459 0.561
9 O 0.764 0.831 0.328
10 O 0.067 0.772 0.699
11 O 0.210 0.405 0.205
12 O 0.766 0.541 0.439
13 O 0.933 0.228 0.301
14 O 0.383 0.094 0.101
15 H 0.914 0.592 0.425
16 H 0.748 0.919 0.989
17 H 0.844 0.616 0.904
18 H 0.809 0.487 0.745
19 H 0.786 0.914 0.425
20 H 0.613 0.863 0.581
21 H 0.398 0.170 0.736
22 H 0.665 0.314 0.973
23 H 0.214 0.086 0.575
24 H 0.252 0.081 0.011
25 H 0.191 0.513 0.255
26 H 0.372 0.744 0.483
27 H 0.156 0.384 0.096
28 H 0.086 0.408 0.575
29 H 0.323 0.373 0.521
30 H 0.677 0.627 0.479
31 H 0.927 0.121 0.236
32 H 0.628 0.256 0.517
33 H 0.637 0.003 0.873
34 H 0.387 0.137 0.419
35 H 0.046 0.293 0.268
36 H 0.734 0.493 0.069
37 H 0.363 0.997 0.127
38 H 0.954 0.707 0.732
39 H 0.266 0.507 0.931
40 H 0.335 0.686 0.027
41 H 0.602 0.830 0.264
42 H 0.073 0.879 0.764
43 F 0.056 0.047 0.863
44 F 0.856 0.325 0.649
45 F 0.774 0.019 0.580
46 F 0.345 0.827 0.178
47 F 0.144 0.675 0.351
48 F 0.655 0.173 0.822
49 F 0.090 0.354 0.921
50 F 0.910 0.646 0.079
51 F 0.944 0.953 0.137
52 F 0.226 0.981 0.420
53 Ga 0.048 0.819 0.247
54 Ga 0.952 0.181 0.753
55 Cd 0.416 0.676 0.745
56 Cd 0.584 0.324 0.255

- SG = P-1
- E (eV/atom) = -4.790